(1)
Density functional theory data (GGA-PBE) for a relaxed structure of Tm2NpRhO8.

Values from the calculation:
* E_form (uncorrected): -30.767 eV per formula unit
* raw total energy: -8.306 eV/atom

Lattice parameters (Å, degrees): 6.9262 7.1740 6.5846 90.00 90.00 90.00
Space group Cmmm (No. 65)
Symmetry-distinct sites (fractional):
Tm 0.0000 0.0000 0.2403
Np 0.0000 0.5000 0.5000
Rh 0.0000 0.5000 0.0000
O 0.0000 0.3170 0.2499
O 0.2059 0.0000 0.5000
O 0.2133 0.0000 0.0000



(2)
Density functional theory data (GGA-PBE) for a relaxed structure of Rb5Na3.

Values from the calculation:
* energy relative to the elements: 0.0306 eV/atom
* raw total energy: -1.069 eV/atom

Lattice parameters (Å, degrees): 16.5269 16.5269 8.0288 90.00 90.00 90.00
Space group I4/mcm (No. 140)
Symmetry-distinct sites (fractional):
Rb 0.0000 0.5000 0.2500
Rb 0.0800 0.2190 0.0000
Na 0.0000 0.0000 0.2500
Na 0.1666 0.3334 0.5000



(3)
Density functional theory data (GGA-PBE) for a relaxed structure of Zr2TcSe.

Values from the calculation:
* E_form (uncorrected): 0.196 eV per formula unit
* raw total energy: -7.688 eV/atom

Lattice parameters (Å, degrees): 6.6554 6.6554 6.6554 90.00 90.00 90.00
Space group F-43m (No. 216)
Symmetry-distinct sites (fractional):
Zr 0.0000 0.0000 0.0000
Zr 0.2500 0.2500 0.2500
Tc 0.2500 0.2500 0.7500
Se 0.0000 0.0000 0.5000



(4)
Density functional theory data (GGA-PBE) for a relaxed structure of Sc3CdTe.

Values from the calculation:
* E_form (uncorrected): 0.759 eV per formula unit
* offset from the most stable computed form: 0.72 eV per formula unit
* raw total energy: -4.459 eV/atom

Lattice parameters (Å, degrees): 5.2599 5.2599 5.2599 90.00 90.00 90.00
Space group Pm-3m (No. 221)
Symmetry-distinct sites (fractional):
Sc 0.0000 0.0000 0.5000
Cd 0.0000 0.0000 0.0000
Te 0.5000 0.5000 0.5000



(5)
Density functional theory data (GGA-PBE) for a relaxed structure of Zn2IrPb.

Values from the calculation:
* energy relative to the elements: 0.1830 eV/atom
* raw total energy: -3.596 eV/atom

Lattice parameters (Å, degrees): 3.1155 3.1155 27.2848 90.00 90.00 120.00
Space group R-3m (No. 166, hexagonal axes)
Symmetry-distinct sites (fractional):
Zn 0.0000 0.0000 0.2350
Ir 0.0000 0.0000 0.5000
Pb 0.0000 0.0000 0.0000



(6)
Density functional theory data (GGA-PBE) for a relaxed structure of Th2Ge2Pd3.

Values from the calculation:
* energy relative to the elements: -0.7950 eV/atom
* raw total energy: -6.460 eV/atom

Lattice parameters (Å, degrees): 10.8643 4.1167 6.5138 90.00 98.82 90.00
Space group C2/m (No. 12)
Symmetry-distinct sites (fractional):
Th 0.1265 0.0000 0.3082
Ge 0.0931 0.5000 0.6603
Pd 0.0000 0.5000 0.0000
Pd 0.1921 0.0000 0.8648



(7)
Density functional theory data (GGA-PBE) for a relaxed structure of Cs4AgGe3I12.

Values from the calculation:
* E_form (uncorrected): -15.684 eV per formula unit
* raw total energy: -2.720 eV/atom

Lattice parameters (Å, degrees): 11.9082 11.9082 11.9082 90.00 90.00 90.00
Space group Im-3m (No. 229)
Symmetry-distinct sites (fractional):
Cs 0.2500 0.2500 0.2500
Ag 0.0000 0.0000 0.0000
Ge 0.0000 0.0000 0.5000
I 0.0000 0.0000 0.2522
I 0.0000 0.2500 0.5000



(8)
Density functional theory data (GGA-PBE) for a relaxed structure of Tl2Pb5.

Values from the calculation:
* offset from the most stable computed form: 0.09 eV per formula unit
* energy relative to the elements: 0.0294 eV/atom
* raw total energy: -3.295 eV/atom

Lattice parameters (Å, degrees): 5.6596 5.6596 23.9109 90.00 90.00 120.00
Space group R-3m (No. 166, hexagonal axes)
Symmetry-distinct sites (fractional):
Tl 0.0000 0.0000 0.1421
Pb 0.0000 0.0000 0.0000
Pb 0.0000 0.0000 0.2859
Pb 0.0000 0.0000 0.4256